VASP calculation (GGA-PBE) on a relaxed structure of AcDyHo6Tm2.

Cell and atoms, written as CIF:
```
data_AcDyHo6Tm2
_chemical_formula_sum 'Ac4 Dy4 Ho24 Tm8'
_space_group_name_H-M_alt 'C 1 2/c 1'
_space_group_IT_number 15
_cell_length_a 9.203
_cell_length_b 15.102
_cell_length_c 9.434
_cell_angle_alpha 90.00
_cell_angle_beta 94.58
_cell_angle_gamma 90.00
loop_
_space_group_symop_operation_xyz
'x,y,z'
'-x,-y,-z'
'-x,y,-z+1/2'
'x,-y,z+1/2'
'x+1/2,y+1/2,z'
'-x+1/2,-y+1/2,-z'
'-x+1/2,y+1/2,-z+1/2'
'x+1/2,-y+1/2,z+1/2'
loop_
_atom_site_label
_atom_site_fract_x
_atom_site_fract_y
_atom_site_fract_z
_atom_site_occupancy
Ac1 0.000 0.032 0.250 1
Dy1 0.000 0.412 0.750 1
Ho1 0.060 0.187 0.942 1
Ho2 0.100 0.388 0.115 1
Ho3 0.217 0.230 0.321 1
Tm1 0.240 0.444 0.450 1
```

Computed properties:
Calculated volume in Å³/cell: 1307.08
Energy relative to the elements in eV per atom: 0.133